First-principles (SCAN) data for a PBEsol-optimized structure of AlFe2Mo, as listed in Alexandria via LeMat-Bulk.

abc: 4.1380 4.1380 4.1380
angles: 60.00 60.00 60.00
With the nearest neighbours (Å) after each atom.
Atoms (fractional coordinates):
Al: 0.0000 0.0000 0.0000  4 Mo 2.53, 4 Fe 2.53
Fe: 0.2500 0.2500 0.2500  4 Fe 2.53, 4 Al 2.53
Fe: 0.5000 0.5000 0.5000  4 Fe 2.53, 4 Mo 2.53
Mo: 0.7500 0.7500 0.7500  4 Fe 2.53, 4 Al 2.53

## Properties
The value obtained for the size of the total moment is 3.6 Bohr magnetons per cell. The calculation puts the density of states at the Fermi level at 2.11 states/eV/cell. For the energy of formation, the calculation gives -0.09 eV per atom. The electronic total energy comes out at -19.8091 eV/atom.